Below is crystalline PmPa4Sb5 at its relaxed geometry, with properties calculated at the PBE level.

Geometry as POSCAR:
```
PmPa4Sb5
1.0
-4.8991 4.8991 3.0974
4.8991 -4.8991 3.0974
4.8991 4.8991 -3.0974
Pm Pa Sb
1 4 5
direct
0.0000 0.0000 0.0000
0.2016 0.3977 0.5993
0.3977 0.7984 0.1961
0.6023 0.2016 0.8039
0.7984 0.6023 0.4007
0.0999 0.6964 0.7963
0.3036 0.0999 0.4035
0.5000 0.5000 0.0000
0.6964 0.9001 0.5965
0.9001 0.3036 0.2037
```

Properties
* electronic total energy: -6.91 eV per atom
* space-group type: I4/m (87)
* density of states at the Fermi level: 16.3 states/eV/cell